The following is a DFT calculation (PBE) of an optimized crystal structure of YZnGe2Au.

a = 4.902 Å, b = 5.648 Å, c = 4.902 Å
α = 90.00°, β = 90.00°, γ = 90.00°
Fractional coordinates of all 5 atoms:
Y 0.000 0.500 0.000
Ge 0.000 0.000 0.500
Ge 0.500 0.000 0.000
Au 0.000 0.000 0.000
Zn 0.500 0.500 0.500

Calculated values
- VASP energy (eV per atom) = -3.696
- DFT formation energy (eV per atom) = 0.354
- space-group type = P4/mmm
- calculated density (g/cm³) = 6.1